Computed, not measured: TbZnIr after structural relaxation at the GGA-PBE level of DFT.

```
TbZnIr
1.0
-1.9762 1.3487 2.5531
3.2042 -0.8193 2.9130
-0.1119 3.8593 -2.1254
Zn Ir Tb
1 1 1
Cartesian
1.7696 0.9649 1.6589
-0.3295 0.2249 0.4257
-0.3240 3.1989 1.2561
```

Computed properties:
DFT formation energy in meV/atom: -571.8

=====

Computed, not measured: Tl2GaF8 after structural relaxation at the GGA-PBE level of DFT.

```
Tl2GaF8
1.0
4.5131 0.0001 -0.0001
-0.0005 5.7368 -3.3120
0.0003 -0.0023 6.6239
Tl Ga F
2 1 8
Cartesian
1.0582 1.9107 3.3123
3.4548 3.8240 -0.0006
0.0003 -0.0023 6.6238
1.2044 3.8240 -0.0010
3.3085 1.9106 3.3126
3.4344 4.9336 -1.9345
1.0786 0.7913 1.3841
1.0785 4.1402 3.3047
1.0785 0.8012 5.2463
3.4344 4.9433 1.9276
3.4345 1.5945 0.0071
```

Computed properties:
Formation energy from raw total energies in eV per formula unit: -21.865

=====

Computed, not measured: Zr4RuRh after structural relaxation at the GGA-PBE level of DFT.

```
Zr4RuRh
1.0
0.0000 3.9117 3.9117
3.9117 0.0000 3.9117
3.9117 3.9117 0.0000
Zr Ru Rh
4 1 1
Cartesian
2.9320 4.8914 4.8914
4.8914 4.8914 2.9320
4.8914 2.9320 4.8914
2.9320 2.9320 2.9320
0.0000 0.0000 0.0000
5.8675 5.8675 5.8675
```

Computed properties:
DFT formation energy in meV/atom: 506.9

=====

Computed, not measured: Hf2POs after structural relaxation at the GGA-PBE level of DFT.

```
Hf2POs
1.0
-0.9067 -5.6660 -1.2858
5.3732 -0.3227 -2.3673
4.4742 -4.5556 3.4728
Hf Os P
4 2 2
Cartesian
1.2222 -4.7284 -0.2331
4.3647 -2.0409 -0.7703
5.0230 -5.6620 1.2380
7.2713 -8.6572 -0.5951
0.0000 0.0000 0.0000
2.9003 -6.6079 0.1802
2.2332 -2.9943 -1.8265
6.0403 -3.9363 -0.3605
```

Computed properties:
DFT formation energy in meV/atom: 227.8